# Tl2ReTc

A geometry-optimized Tl2ReTc structure (PBE-GGA, Alexandria).

a = 12.1226 Å, b = 3.1297 Å, c = 4.9000 Å
α = 90.00°, β = 113.83°, γ = 90.00°
Closest atoms and distances in Å follow each position.
Space group Cm (No. 8)
Symmetry-distinct sites (fractional):
1 Tl 0.0000 0.0000 0.0000 (multiplicity 2)  4 Re 2.97-3.04, 3 Tl 3.13-3.14, 1 Tc 3.23
2 Tl 0.2115 0.0000 0.6369 (multiplicity 2)  4 Tc 2.96-3.03, 3 Tl 3.13-3.14, 1 Re 3.19
3 Re 0.4317 0.0000 0.4395 (multiplicity 2)  2 Tc 2.38
4 Tc 0.2747 0.5000 0.1913 (multiplicity 2)  2 Re 2.38

Results
- energy (eV/cell) = -48.3
- energy relative to the lowest polymorph listed for this composition (eV per atom) = 0.4383
- density (g/cm³) = 13.53
- spin magnetization (μB per formula unit) = 0.00